## Tb2Ho5Sb5 (PBE)

Data for a relaxed structure of Tb2Ho5Sb5.

Geometry as POSCAR:
```
Tb2Ho5Sb5
1.0
-2.020 1.595 -3.481
6.150 -3.304 -2.390
-8.904 -8.779 1.144
Ho Sb Tb
5 5 2
Cartesian
-5.078 -10.165 -1.711
0.304 -0.323 -3.016
-1.787 -3.318 -3.175
-2.986 -7.170 -1.552
-5.462 -3.592 -1.169
1.267 -3.318 -2.255
0.000 0.000 0.000
-2.635 -4.429 -0.500
-6.041 -7.170 -2.472
-2.138 -6.059 -4.227
1.766 -3.401 -5.274
-6.539 -7.087 0.547
```

Output
M_tot   0.0 μB per cell
Uncorrected formation energy   -0.828 eV/atom
Space group   No. 12
Uncorrected energy   -62.70 eV for the cell shown

---

## BaEuAgSb (PBE)

Data for a relaxed structure of BaEuAgSb.

Geometry as POSCAR:
```
BaEuAgSb
1.0
-2.883 -0.652 4.901
-4.493 -3.537 0.228
0.373 -4.916 2.906
Eu Ag Ba Sb
1 1 1 1
Cartesian
-3.502 -4.553 4.017
-5.252 -6.829 6.026
0.000 0.000 0.000
-1.751 -2.276 2.009
```

Output
M_tot   7.0 μB per cell
Uncorrected formation energy   -0.680 eV/atom
Space group   No. 216
Uncorrected energy   -21.89 eV for the cell shown

---

## Tm2HgAu (PBE)

Data for a relaxed structure of Tm2HgAu.

Geometry as POSCAR:
```
Tm2HgAu
1.0
-0.683 0.117 3.747
-2.946 -1.926 1.460
3.673 -7.239 2.833
Tm Au Hg
2 1 1
Cartesian
-0.089 -2.126 1.988
0.133 -6.922 6.053
0.000 0.000 0.000
0.022 -4.524 4.020
```

Output
Formation enthalpy at 0 K   -2.1 eV/f.u.
M_tot   0.0 μB per cell
Relative energy among the computed polymorphs   151 meV per atom
Space group   No. 166
Uncorrected energy   -14.67 eV for the cell shown

---

## VSnBr2 (PBE)

Data for a relaxed structure of VSnBr2.

Geometry as POSCAR:
```
VSnBr2
1.0
-3.558 -0.039 0.563
-1.963 -2.823 -1.074
-0.219 -5.853 9.743
V Br Sn
1 2 1
Cartesian
-2.870 -4.358 4.615
-4.937 -4.627 3.059
-0.803 -4.089 6.172
0.000 0.000 0.000
```

Output
M_tot   2.9 μB per cell
Uncorrected formation energy   -0.341 eV/atom
Relative energy among the computed polymorphs   0 meV per atom
Space group   No. 166
Uncorrected energy   -17.83 eV for the cell shown

---

## Pm4TmP5 (PBE)

Data for a relaxed structure of Pm4TmP5.

Geometry as POSCAR:
```
Pm4TmP5
1.0
5.223 0.000 2.519
2.611 6.477 1.259
-0.202 0.000 7.093
Tm P Pm
1 5 4
Cartesian
0.006 0.000 0.003
3.518 5.206 6.066
2.064 3.935 2.407
4.123 1.271 4.811
2.617 0.000 1.262
5.577 2.542 8.470
6.146 5.175 7.291
1.496 1.302 3.585
4.662 3.897 3.694
2.980 2.580 7.183
```

Output
Formation enthalpy at 0 K   -15.6 eV/f.u.
M_tot   0.0 μB per cell
Space group   No. 87
Uncorrected energy   -66.14 eV for the cell shown

---

## LaZnRe2 (PBE)

Data for a relaxed structure of LaZnRe2.

Geometry as POSCAR:
```
LaZnRe2
1.0
2.840 0.000 0.000
0.000 4.203 0.000
0.000 0.000 6.566
Re La Zn
2 1 1
Cartesian
0.000 0.000 2.812
0.000 0.000 0.471
1.420 2.102 4.925
1.420 2.102 1.642
```

Output
Formation enthalpy at 0 K   2.1 eV/f.u.
M_tot   0.1 μB per cell
Space group   No. 47
Uncorrected energy   -29.03 eV for the cell shown

---

## SrCr2H8 (PBE)

Data for a relaxed structure of SrCr2H8.

Geometry as POSCAR:
```
SrCr2H8
1.0
4.938 0.096 -0.018
-0.050 3.982 -2.369
0.060 -0.368 4.619
Cr H Sr
2 8 1
Cartesian
2.793 2.676 -0.060
2.831 1.167 2.363
4.423 2.880 -0.104
1.757 1.899 1.155
3.742 2.018 1.197
1.580 2.201 -1.205
4.465 1.241 2.529
1.638 -0.087 2.470
3.100 0.598 3.924
3.018 3.828 -1.265
0.327 0.101 0.058
```

Output
M_tot   2.1 μB per cell
Space group   No. 8
Uncorrected energy   -48.90 eV for the cell shown

---

## Ho2ErTlN (PBE)

Data for a relaxed structure of Ho2ErTlN.

Geometry as POSCAR:
```
Ho2ErTlN
1.0
4.768 0.000 0.000
0.000 4.792 0.000
0.000 0.000 4.792
Er Ho N Tl
1 2 1 1
Cartesian
2.384 0.000 0.000
0.000 2.396 0.000
0.000 0.000 2.396
0.000 0.000 0.000
2.384 2.396 2.396
```

Output
M_tot   0.0 μB per cell
Uncorrected formation energy   -0.949 eV/atom
Space group   No. 123
Uncorrected energy   -29.16 eV for the cell shown

---

## Li6Se2S (PBE)

Data for a relaxed structure of Li6Se2S.

Geometry as POSCAR:
```
Li6Se2S
1.0
-2.953 -4.488 -1.211
2.602 -2.784 3.975
-8.495 3.439 7.968
Li S Se
12 2 4
Cartesian
-3.119 -3.785 4.584
-0.107 -2.225 0.846
-6.122 -2.438 3.780
-5.853 -2.679 7.149
0.230 -2.539 4.319
-0.244 -5.047 1.919
-3.315 -3.626 1.009
-5.726 -0.048 6.149
-5.531 -0.207 9.723
-9.076 -1.294 6.413
-2.992 -1.155 3.584
-2.724 -1.396 6.953
0.000 0.000 0.000
-4.423 -1.917 5.366
-7.259 -0.769 8.026
-1.587 -3.065 2.706
-2.836 1.148 2.660
-5.659 2.291 5.308
```

Output
M_tot   0.0 μB per cell
Uncorrected formation energy   -1.178 eV/atom
Relative energy among the computed polymorphs   103 meV per atom
Space group   No. 136
Uncorrected energy   -66.35 eV for the cell shown

---

## AgSb2TeRu (PBE)

Data for a relaxed structure of AgSb2TeRu.

Geometry as POSCAR:
```
AgSb2TeRu
1.0
-1.555 -1.474 -4.744
4.304 -2.882 -0.516
-2.531 -4.160 2.122
Sb Ag Ru Te
2 1 1 1
Cartesian
2.152 -1.441 -0.258
-0.778 -0.737 -2.372
0.000 0.000 0.000
0.109 -4.258 -1.569
-1.266 -2.080 1.061
```

Output
M_tot   2.0 μB per cell
Uncorrected formation energy   1.322 eV/atom
Relative energy among the computed polymorphs   825 meV per atom
Space group   No. 123
Uncorrected energy   -16.90 eV for the cell shown

---

## Nd2DyZnSe5 (PBE)

Data for a relaxed structure of Nd2DyZnSe5.

Geometry as POSCAR:
```
Nd2DyZnSe5
1.0
-2.760 2.628 1.306
3.345 -3.442 7.783
8.667 8.977 0.245
Se Nd Zn Dy
10 4 2 2
Cartesian
0.660 0.340 0.710
6.732 8.177 3.984
6.996 4.838 5.048
8.644 4.834 8.540
3.543 5.220 3.196
0.974 1.999 4.250
1.427 -1.490 6.017
4.289 1.821 5.400
5.254 4.367 8.529
1.006 3.743 0.805
6.376 5.645 2.111
7.149 7.072 7.089
3.255 2.286 2.278
1.722 1.324 7.190
5.639 2.110 7.673
7.035 9.600 1.758
0.907 -0.707 3.340
4.271 4.652 5.878
```

Output
M_tot   0.0 μB per cell
Uncorrected formation energy   -1.587 eV/atom
Space group   No. 36
Uncorrected energy   -94.23 eV for the cell shown

---

## Na2Tl2Hg17 (PBE)

Data for a relaxed structure of Na2Tl2Hg17.

Geometry as POSCAR:
```
Na2Tl2Hg17
1.0
13.948 1.796 3.504
2.824 6.912 0.884
2.125 -0.007 7.212
Na Hg Tl
2 17 2
Cartesian
8.037 0.895 5.358
8.386 4.354 2.194
14.973 7.066 9.378
2.361 2.327 5.077
5.397 5.836 6.976
5.565 5.714 2.130
1.062 -0.003 3.606
7.784 3.466 7.196
11.113 5.236 4.405
6.974 0.898 1.752
13.332 2.988 9.470
10.858 2.713 6.712
5.091 1.028 6.417
16.537 6.374 6.523
13.806 7.674 5.183
8.039 5.989 4.888
13.500 2.866 4.624
3.924 1.636 2.222
1.412 3.456 0.442
5.651 3.544 4.498
13.246 5.158 7.102
```

Output
Formation enthalpy at 0 K   -0.8 eV/f.u.
M_tot   0.0 μB per cell
Space group   No. 12
Uncorrected energy   -13.29 eV for the cell shown

---

## MnInSi2 (PBE)

Data for a relaxed structure of MnInSi2.

Geometry as POSCAR:
```
MnInSi2
1.0
-0.545 0.174 -3.983
-0.577 -3.263 -0.064
-4.919 -0.823 0.637
Mn Si In
1 2 1
Cartesian
-4.601 -3.573 -1.560
-1.160 -0.810 -1.909
-0.559 -2.636 -0.039
-3.046 -2.200 0.320
```

Output
M_tot   0.5 μB per cell
Uncorrected formation energy   0.229 eV/atom
Space group   No. 38
Uncorrected energy   -21.84 eV for the cell shown

---

## FeTcW2 (PBE)

Data for a relaxed structure of FeTcW2.

Geometry as POSCAR:
```
FeTcW2
1.0
-2.813 -0.038 -1.357
1.078 -1.961 -2.179
-1.582 -4.659 3.410
W Tc Fe
2 1 1
Cartesian
-0.769 -2.265 1.658
-0.022 -0.064 0.047
-2.054 -4.493 0.789
-1.263 -2.164 -0.916
```

Output
Formation enthalpy at 0 K   0.4 eV/f.u.
M_tot   2.0 μB per cell
Relative energy among the computed polymorphs   4 meV per atom
Space group   No. 123
Uncorrected energy   -44.31 eV for the cell shown

---

## TaTcAg2 (PBE)

Data for a relaxed structure of TaTcAg2.

Geometry as POSCAR:
```
TaTcAg2
1.0
5.353 0.000 0.001
2.237 4.863 -0.001
-3.225 -3.320 2.688
Ag Tc Ta
2 1 1
Cartesian
0.047 0.030 0.000
2.933 -0.463 1.345
1.559 2.087 1.344
3.620 2.319 0.000
```

Output
Formation enthalpy at 0 K   1.5 eV/f.u.
M_tot   0.0 μB per cell
Relative energy among the computed polymorphs   204 meV per atom
Space group   No. 44
Uncorrected energy   -26.39 eV for the cell shown

---

## FeSnSe (PBE)

Data for a relaxed structure of FeSnSe.

Geometry as POSCAR:
```
FeSnSe
1.0
-2.095 -2.773 -0.482
6.585 -4.964 -0.068
-0.628 -0.945 8.168
Sn Se Fe
4 4 4
Cartesian
2.489 -2.915 5.953
3.429 -5.544 4.220
3.469 -2.994 2.148
0.433 -3.137 3.398
-0.267 -0.845 6.025
3.202 -5.966 7.634
6.225 -5.064 2.075
0.660 -2.716 -0.016
-0.173 -3.115 5.902
4.464 -4.493 6.445
1.493 -1.416 1.655
4.035 -5.567 1.717
```

Output
M_tot   0.0 μB per cell
Uncorrected formation energy   -0.053 eV/atom
Space group   No. 84
Uncorrected energy   -64.44 eV for the cell shown

---

## Dy3Y4Tm4 (PBE)

Data for a relaxed structure of Dy3Y4Tm4.

Geometry as POSCAR:
```
Dy3Y4Tm4
1.0
3.481 0.000 0.003
0.000 5.581 0.006
1.733 2.782 17.713
Y Tm Dy
4 4 3
Cartesian
1.738 2.786 8.252
1.740 5.577 3.207
3.477 5.576 9.470
3.475 2.786 14.515
1.738 2.788 1.613
3.477 5.575 16.108
3.479 2.786 11.323
1.736 5.577 6.399
1.737 5.576 12.883
3.478 2.787 4.838
1.733 2.782 17.712
```

Output
Formation enthalpy at 0 K   0.7 eV/f.u.
M_tot   0.0 μB per cell
Relative energy among the computed polymorphs   42 meV per atom
Space group   No. 2
Uncorrected energy   -56.82 eV for the cell shown

---

## SbPS4I (PBE)

Data for a relaxed structure of SbPS4I.

Geometry as POSCAR:
```
SbPS4I
1.0
7.782 -1.036 -0.044
1.601 7.686 -0.044
1.919 1.360 8.678
S P I Sb
8 2 2 2
Cartesian
8.982 4.364 7.008
5.680 4.026 2.163
3.922 2.780 4.459
7.093 7.030 7.008
5.621 3.984 6.426
2.319 3.646 1.581
4.209 0.980 1.581
7.380 5.231 4.130
7.232 5.126 6.109
4.070 2.885 2.481
9.720 6.889 2.095
1.582 1.121 6.494
9.219 6.534 8.210
2.082 1.476 0.380
```

Output
M_tot   0.0 μB per cell
Uncorrected formation energy   -0.068 eV/atom
Space group   No. 12
Uncorrected energy   -56.14 eV for the cell shown

---

## SrBrCl (PBE)

Data for a relaxed structure of SrBrCl.

Geometry as POSCAR:
```
SrBrCl
1.0
4.537 0.000 0.000
-2.269 3.929 0.000
0.000 0.000 6.492
Sr Br Cl
1 1 1
Cartesian
0.000 2.620 4.231
0.000 0.000 5.852
2.269 1.310 2.901
```

Output
M_tot   0.0 μB per cell
Uncorrected formation energy   -2.273 eV/atom
Space group   No. 156
Uncorrected energy   -12.02 eV for the cell shown

---

## PaCuPd (PBE)

Data for a relaxed structure of PaCuPd.

Geometry as POSCAR:
```
PaCuPd
1.0
-2.928 -2.703 2.220
-1.439 -4.528 -2.724
2.281 -4.416 2.317
Pd Pa Cu
2 2 2
Cartesian
-1.821 -8.304 1.546
-0.264 -3.343 0.267
-1.904 -5.856 -0.269
-0.181 -5.791 2.082
0.257 -7.965 0.013
-2.342 -3.682 1.801
```

Output
Formation enthalpy at 0 K   -1.1 eV/f.u.
M_tot   0.0 μB per cell
Relative energy among the computed polymorphs   0 meV per atom
Space group   No. 12
Uncorrected energy   -39.71 eV for the cell shown